[1]
Density functional theory data (PBE) for an optimized crystal structure of Tb8Dy3Ho.

a = 9.388 Å, b = 9.388 Å, c = 9.388 Å
α = 131.79°, β = 131.79°, γ = 70.56°
Positions (direct):
Tb 0.125 0.125 0.500
Tb 0.125 0.625 0.000
Tb 0.375 0.375 0.500
Tb 0.375 0.875 0.000
Tb 0.625 0.125 0.000
Tb 0.625 0.625 0.500
Tb 0.875 0.375 0.000
Tb 0.875 0.875 0.500
Dy 0.000 0.000 0.000
Dy 0.250 0.750 0.500
Dy 0.750 0.250 0.500
Ho 0.500 0.500 0.000

Computed properties:
SG	I4/mmm, No. 139
energy of formation from the pure elements	726	meV/atom

***

[2]
Density functional theory data (PBE) for an optimized crystal structure of TbDy4Ho7.

a = 6.654 Å, b = 6.654 Å, c = 12.585 Å
α = 115.18°, β = 115.18°, γ = 51.90°
Positions (direct):
Tb 0.000 0.000 0.000
Dy 0.244 0.244 0.681
Dy 0.363 0.363 0.225
Dy 0.637 0.637 0.775
Dy 0.756 0.756 0.319
Ho 0.062 0.062 0.322
Ho 0.212 0.212 0.924
Ho 0.367 0.367 0.500
Ho 0.500 0.500 0.000
Ho 0.633 0.633 0.500
Ho 0.788 0.788 0.076
Ho 0.938 0.938 0.678

Computed properties:
SG	C2/m, No. 12
energy of formation from the pure elements	289	meV/atom
energy above the lowest structure with this stoichiometry	2.39	eV/f.u.

***

[3]
Density functional theory data (PBE) for an optimized crystal structure of TbDy4Ho5.

a = 6.233 Å, b = 6.670 Å, c = 9.135 Å
α = 72.27°, β = 89.99°, γ = 62.15°
Positions (direct):
Tb 0.000 0.000 0.000
Dy 0.200 0.600 0.400
Dy 0.266 0.800 0.700
Dy 0.599 0.799 0.200
Dy 0.666 0.000 0.500
Ho 0.067 0.200 0.300
Ho 0.399 0.200 0.799
Ho 0.467 0.399 0.100
Ho 0.799 0.400 0.600
Ho 0.867 0.600 0.900

Computed properties:
SG	P1, No. 1
energy of formation from the pure elements	5	meV/atom
energy above the lowest structure with this stoichiometry	0.00	eV/f.u.

***

Q: Number 2 is which compound?
A: TbDy4Ho7